Entry 1:
A geometry-optimized Sr2DyGaSe5 structure. Source: the Alexandria database, functional PBE.

Cell: 9.608 9.608 12.879 Å, 90.00 90.00 155.26°
Positions (direct):
Sr: 0.119 0.881 0.500
Sr: 0.124 0.876 0.141
Sr: 0.876 0.124 0.641
Sr: 0.881 0.119 0.000
Dy: 0.207 0.793 0.843
Dy: 0.793 0.207 0.343
Ga: 0.441 0.559 0.249
Ga: 0.559 0.441 0.749
Se: 0.046 0.954 0.859
Se: 0.294 0.706 0.493
Se: 0.316 0.684 0.185
Se: 0.355 0.645 0.823
Se: 0.499 0.501 0.587
Se: 0.501 0.499 0.087
Se: 0.645 0.355 0.323
Se: 0.684 0.316 0.685
Se: 0.706 0.294 0.993
Se: 0.954 0.046 0.359

Output
The symmetry is No. 36.

Entry 2:
A geometry-optimized TbDyGaSe structure. Source: the Alexandria database, functional PBE.

Cell: 7.671 7.671 7.671 Å, 30.00 30.00 30.00°
Positions (direct):
Tb: 0.000 0.000 0.000
Dy: 0.503 0.503 0.503
Ga: 0.752 0.752 0.752
Se: 0.251 0.251 0.251

Output
Its density of states at the Fermi level is 0.407 states/eV/atom. The symmetry is No. 160.

Entry 3:
A geometry-optimized Dy4GaTe2Se structure. Source: the Alexandria database, functional PBE.

Cell: 7.328 4.201 7.481 Å, 90.00 108.88 90.00°
Positions (direct):
Dy: 0.235 0.000 0.224
Dy: 0.250 0.500 0.778
Dy: 0.750 0.500 0.222
Dy: 0.765 0.000 0.776
Ga: 0.000 0.500 0.000
Te: 0.000 0.000 0.500
Te: 0.500 0.500 0.500
Se: 0.500 0.000 0.000

Output
Its density of states at the Fermi level is 0.344 states/eV/atom. The symmetry is No. 10.

Entry 4:
A geometry-optimized Dy6GaTe3Se2 structure. Source: the Alexandria database, functional PBE.

Cell: 7.278 7.278 7.472 Å, 99.34 99.34 119.89°
Positions (direct):
Dy: 0.073 0.398 0.220
Dy: 0.250 0.250 0.778
Dy: 0.398 0.073 0.220
Dy: 0.602 0.927 0.780
Dy: 0.750 0.750 0.222
Dy: 0.927 0.602 0.780
Ga: 0.000 0.000 0.000
Te: 0.170 0.830 0.500
Te: 0.500 0.500 0.500
Te: 0.830 0.170 0.500
Se: 0.334 0.666 0.000
Se: 0.666 0.334 0.000

Output
Its density of states at the Fermi level is 0.415 states/eV/atom. The symmetry is No. 12.

For reference, total magnetic moment by record: 0.00 0.00 0.00 0.00 μB/atom.
For reference, raw formation energy by record: -1.622 -1.177 -1.289 -1.391 eV per atom.